(1)
# Ni2Ir2Pt PBE relaxed
# Formation energy from the elements, eV/f.u.: 1.14
# E above lowest polymorph, meV/atom: 0
# Size of the total moment, μB/f.u.: 0.00
# E, eV per atom: -6.838
data_Ni2Ir2Pt
_cell_length_a 7.128
_cell_length_b 7.128
_cell_length_c 2.739
_cell_angle_alpha 90.00
_cell_angle_beta 90.00
_cell_angle_gamma 90.00
_space_group_name_H-M_alt 'P 4/m b m'
_space_group_IT_number 127
_space_group_name_Hall '-P 4 2ab'
loop_
_atom_site_label
_atom_site_type_symbol
_atom_site_fract_x
_atom_site_fract_y
_atom_site_fract_z
Ni1 Ni 0.167 0.333 0.000
Ir1 Ir 0.130 0.630 0.500
Pt1 Pt 0.000 0.000 0.500

(2)
# Ni2IrPt PBE relaxed
# Formation energy from the elements, eV/f.u.: 0.59
# E above lowest polymorph, meV/atom: 187
# Size of the total moment, μB/f.u.: 1.48
# E, eV per atom: -6.469
data_Ni2IrPt
_cell_length_a 2.650
_cell_length_b 4.390
_cell_length_c 4.664
_cell_angle_alpha 90.00
_cell_angle_beta 90.75
_cell_angle_gamma 90.00
_space_group_name_H-M_alt 'P 1 2/m 1'
_space_group_IT_number 10
loop_
_space_group_symop_operation_xyz
'x,y,z'
'-x,-y,-z'
'-x,y,-z'
'x,-y,z'
loop_
_atom_site_label
_atom_site_type_symbol
_atom_site_fract_x
_atom_site_fract_y
_atom_site_fract_z
Ni1 Ni 0.245 0.000 0.239
Ir1 Ir 0.500 0.500 0.000
Pt1 Pt 0.000 0.500 0.500

(3)
# NiIr2Pt PBE relaxed
# Formation energy from the elements, eV/f.u.: 0.81
# E above lowest polymorph, meV/atom: 210
# Size of the total moment, μB/f.u.: 0.32
# E, eV per atom: -7.183
data_NiIr2Pt
_cell_length_a 2.687
_cell_length_b 4.699
_cell_length_c 9.154
_cell_angle_alpha 90.00
_cell_angle_beta 90.00
_cell_angle_gamma 90.00
_space_group_name_H-M_alt 'C m m 2'
_space_group_IT_number 35
loop_
_space_group_symop_operation_xyz
'x,y,z'
'-x,-y,z'
'-x,y,z'
'x,-y,z'
'x+1/2,y+1/2,z'
'-x+1/2,-y+1/2,z'
'-x+1/2,y+1/2,z'
'x+1/2,-y+1/2,z'
loop_
_atom_site_label
_atom_site_type_symbol
_atom_site_fract_x
_atom_site_fract_y
_atom_site_fract_z
Ni1 Ni 0.000 0.000 0.000
Ir1 Ir 0.000 0.000 0.512
Ir2 Ir 0.000 0.500 0.764
Pt1 Pt 0.000 0.500 0.243

(4)
# NiIr2Pt PBE relaxed
# Formation energy from the elements, eV/f.u.: 0.31
# E above lowest polymorph, meV/atom: 85
# Size of the total moment, μB/f.u.: 0.00
# E, eV per atom: -7.308
data_NiIr2Pt
_cell_length_a 2.740
_cell_length_b 3.753
_cell_length_c 5.457
_cell_angle_alpha 90.00
_cell_angle_beta 90.00
_cell_angle_gamma 90.00
_space_group_name_H-M_alt 'P m m m'
_space_group_IT_number 47
loop_
_space_group_symop_operation_xyz
'x,y,z'
'-x,-y,-z'
'-x,-y,z'
'x,y,-z'
'x,-y,-z'
'-x,y,z'
'-x,y,-z'
'x,-y,z'
loop_
_atom_site_label
_atom_site_type_symbol
_atom_site_fract_x
_atom_site_fract_y
_atom_site_fract_z
Ni1 Ni 0.000 0.000 0.000
Ir1 Ir 0.500 0.500 0.237
Pt1 Pt 0.000 0.000 0.500

(5)
# Ni6IrPt5 PBE relaxed
# Formation energy from the elements, eV/f.u.: -0.77
# Size of the total moment, μB/f.u.: 6.03
# E, eV per atom: -6.210
data_Ni6IrPt5
_cell_length_a 3.840
_cell_length_b 7.255
_cell_length_c 11.498
_cell_angle_alpha 90.00
_cell_angle_beta 90.00
_cell_angle_gamma 90.00
_space_group_name_H-M_alt 'I m m m'
_space_group_IT_number 71
_space_group_name_Hall '-I 2 2'
loop_
_atom_site_label
_atom_site_type_symbol
_atom_site_fract_x
_atom_site_fract_y
_atom_site_fract_z
Ni1 Ni 0.000 0.247 0.000
Ni2 Ni 0.000 0.252 0.335
Ir1 Ir 0.000 0.500 0.500
Pt1 Pt 0.000 0.000 0.165
Pt2 Pt 0.000 0.000 0.500
Pt3 Pt 0.000 0.500 0.166

(6)
# Ni2IrPt2 PBE relaxed
# Formation energy from the elements, eV/f.u.: 1.78
# E above lowest polymorph, meV/atom: 352
# Size of the total moment, μB/f.u.: 0.00
# E, eV per atom: -6.144
data_Ni2IrPt2
_cell_length_a 3.365
_cell_length_b 3.365
_cell_length_c 12.896
_cell_angle_alpha 90.00
_cell_angle_beta 90.00
_cell_angle_gamma 90.00
_space_group_name_H-M_alt 'I 4/m m m'
_space_group_IT_number 139
_space_group_name_Hall '-I 4 2'
loop_
_atom_site_label
_atom_site_type_symbol
_atom_site_fract_x
_atom_site_fract_y
_atom_site_fract_z
Ni1 Ni 0.000 0.500 0.250
Ir1 Ir 0.000 0.000 0.000
Pt1 Pt 0.000 0.000 0.398